# Mg10B16Ir19, relaxed, DFT PBE-GGA
data_Mg10B16Ir19
_chemical_formula_sum 'Mg20 B32 Ir38'
_cell_length_a 10.641
_cell_length_b 10.641
_cell_length_c 10.641
_cell_angle_alpha 90.00
_cell_angle_beta 90.00
_cell_angle_gamma 90.00
_space_group_name_H-M_alt 'I -4 3 m'
_space_group_IT_number 217
_space_group_name_Hall 'I -4 2 3'
loop_
_atom_site_label
_atom_site_type_symbol
_atom_site_fract_x
_atom_site_fract_y
_atom_site_fract_z
Mg1 Mg 0.000 0.000 0.347
Mg2 Mg 0.167 0.167 0.167
B1 B 0.088 0.336 0.336
B2 B 0.111 0.111 0.889
Ir1 Ir 0.000 0.000 0.000
Ir2 Ir 0.000 0.250 0.500
Ir3 Ir 0.070 0.252 0.748
# Spin magnetization (Bohr magnetons per cell): 0.0
# Energy of formation from the pure elements (eV/atom): -0.463

=====

# MgB4Ir, relaxed, DFT PBE-GGA
data_MgB4Ir
_chemical_formula_sum 'Mg4 B16 Ir4'
_cell_length_a 5.884
_cell_length_b 11.322
_cell_length_c 3.463
_cell_angle_alpha 90.00
_cell_angle_beta 90.00
_cell_angle_gamma 90.00
_space_group_name_H-M_alt 'P b a m'
_space_group_IT_number 55
loop_
_space_group_symop_operation_xyz
'x,y,z'
'-x,-y,-z'
'-x,-y,z'
'x,y,-z'
'x+1/2,-y+1/2,-z'
'-x+1/2,y+1/2,z'
'-x+1/2,y+1/2,-z'
'x+1/2,-y+1/2,z'
loop_
_atom_site_label
_atom_site_type_symbol
_atom_site_fract_x
_atom_site_fract_y
_atom_site_fract_z
Mg1 Mg 0.130 0.150 0.000
B1 B 0.020 0.694 0.500
B2 B 0.114 0.550 0.500
B3 B 0.133 0.973 0.500
B4 B 0.199 0.813 0.500
Ir1 Ir 0.151 0.403 0.000
# Spin magnetization (Bohr magnetons per cell): 0.0
# Energy of formation from the pure elements (eV/atom): -0.199